# Pr2Zn5Ag

Pr2Zn5Ag after structural relaxation (PBE, Alexandria).

Results
Space group   Cmcm (63)
M_tot   0.0 μB/cell
Distance to the lowest polymorph of the same formula   0 meV/atom
Mass density   7.108 g cm⁻³
Energy relative to the elements   -0.305 eV/atom
Final energy   -2.652 eV/atom

Cell lengths 8.637, 8.637, 9.062 Å; angles 90.00, 90.00, 150.31 degrees
Atoms (fractional coordinates):
Pr1 0.000 0.000 0.000
Pr2 0.000 0.000 0.500
Pr3 0.202 0.798 0.750
Pr4 0.798 0.202 0.250
Zn1 0.185 0.815 0.108
Zn2 0.185 0.815 0.392
Zn3 0.346 0.654 0.019
Zn4 0.346 0.654 0.481
Zn5 0.397 0.603 0.750
Zn6 0.603 0.397 0.250
Zn7 0.654 0.346 0.519
Zn8 0.654 0.346 0.981
Zn9 0.815 0.185 0.608
Zn10 0.815 0.185 0.892
Ag1 0.446 0.554 0.250
Ag2 0.554 0.446 0.750



# Pr2Zn9Ag

Pr2Zn9Ag after structural relaxation (PBE, Alexandria).

Results
Space group   R-3m (166)
M_tot   0.0 μB/cell
Mass density   7.118 g cm⁻³
Energy relative to the elements   -0.092 eV/atom
Final energy   -2.082 eV/atom

Cell lengths 9.232, 9.232, 9.232 Å; angles 34.76, 34.76, 34.76 degrees
Atoms (fractional coordinates):
Pr1 0.139 0.139 0.139
Pr2 0.861 0.861 0.861
Zn1 0.079 0.582 0.582
Zn2 0.334 0.334 0.334
Zn3 0.418 0.418 0.921
Zn4 0.418 0.921 0.418
Zn5 0.500 0.500 0.500
Zn6 0.582 0.079 0.582
Zn7 0.582 0.582 0.079
Zn8 0.666 0.666 0.666
Zn9 0.921 0.418 0.418
Ag1 0.000 0.000 0.000



# Pr2Zn5Ag

Pr2Zn5Ag after structural relaxation (PBE, Alexandria).

Results
Space group   I4mm (107)
M_tot   0.0 μB/cell
Distance to the lowest polymorph of the same formula   138 meV/atom
Mass density   6.882 g cm⁻³
Energy relative to the elements   -0.167 eV/atom
Final energy   -2.515 eV/atom

Cell lengths 6.531, 6.531, 8.108 Å; angles 90.00, 90.00, 90.00 degrees
Atoms (fractional coordinates):
Pr1 0.000 0.500 0.000
Pr2 0.000 0.500 0.500
Pr3 0.500 0.000 0.000
Pr4 0.500 0.000 0.500
Zn1 0.000 0.000 0.015
Zn2 0.202 0.202 0.748
Zn3 0.202 0.798 0.748
Zn4 0.298 0.298 0.248
Zn5 0.298 0.702 0.248
Zn6 0.500 0.500 0.515
Zn7 0.702 0.298 0.248
Zn8 0.702 0.702 0.248
Zn9 0.798 0.202 0.748
Zn10 0.798 0.798 0.748
Ag1 0.000 0.000 0.345
Ag2 0.500 0.500 0.845



# PrZn9Ag2

PrZn9Ag2 after structural relaxation (PBE, Alexandria).

Results
Space group   R-3m (166)
M_tot   0.0 μB/cell
Distance to the lowest polymorph of the same formula   0 meV/atom
Mass density   7.772 g cm⁻³
Energy relative to the elements   -0.138 eV/atom
Final energy   -1.967 eV/atom

Cell lengths 8.901, 8.901, 8.901 Å; angles 34.52, 34.52, 34.52 degrees
Atoms (fractional coordinates):
Pr1 0.000 0.000 0.000
Zn1 0.081 0.591 0.591
Zn2 0.334 0.334 0.334
Zn3 0.409 0.409 0.919
Zn4 0.409 0.919 0.409
Zn5 0.500 0.500 0.500
Zn6 0.591 0.081 0.591
Zn7 0.591 0.591 0.081
Zn8 0.666 0.666 0.666
Zn9 0.919 0.409 0.409
Ag1 0.138 0.138 0.138
Ag2 0.862 0.862 0.862



# Pr2Zn5Ag5

Pr2Zn5Ag5 after structural relaxation (PBE, Alexandria).

Results
Space group   Pmmm (47)
M_tot   0.0 μB/cell
Distance to the lowest polymorph of the same formula   23 meV/atom
Mass density   8.003 g cm⁻³
Energy relative to the elements   -0.227 eV/atom
Final energy   -2.742 eV/atom

Cell lengths 4.272, 5.732, 9.729 Å; angles 90.00, 90.00, 90.00 degrees
Atoms (fractional coordinates):
Pr1 0.000 0.000 0.000
Pr2 0.000 0.500 0.500
Zn1 0.000 0.000 0.334
Zn2 0.000 0.000 0.666
Zn3 0.000 0.500 0.159
Zn4 0.000 0.500 0.841
Zn5 0.500 0.500 0.000
Ag1 0.500 0.000 0.500
Ag2 0.500 0.250 0.243
Ag3 0.500 0.250 0.757
Ag4 0.500 0.750 0.243
Ag5 0.500 0.750 0.757



# Pr2Zn4Ag5

Pr2Zn4Ag5 after structural relaxation (PBE, Alexandria).

Results
Space group   Immm (71)
M_tot   0.0 μB/cell
Mass density   7.979 g cm⁻³
Energy relative to the elements   -0.161 eV/atom
Final energy   -2.789 eV/atom

Cell lengths 6.910, 6.910, 6.910 Å; angles 131.47, 100.67, 98.78 degrees
Atoms (fractional coordinates):
Pr1 0.216 0.216 0.000
Pr2 0.784 0.784 0.000
Zn1 0.085 0.745 0.340
Zn2 0.405 0.745 0.660
Zn3 0.595 0.255 0.340
Zn4 0.915 0.255 0.660
Ag1 0.000 0.500 0.500
Ag2 0.304 0.251 0.555
Ag3 0.304 0.749 0.053
Ag4 0.696 0.251 0.947
Ag5 0.696 0.749 0.445



# Pr2Zn2Ag3

Pr2Zn2Ag3 after structural relaxation (PBE, Alexandria).

Results
Space group   Cmmm (65)
M_tot   0.0 μB/cell
Distance to the lowest polymorph of the same formula   61 meV/atom
Mass density   7.778 g cm⁻³
Energy relative to the elements   -0.172 eV/atom
Final energy   -3.124 eV/atom

Cell lengths 4.404, 20.016, 3.566 Å; angles 90.00, 90.00, 90.00 degrees
Atoms (fractional coordinates):
Pr1 0.000 0.154 0.000
Pr2 0.000 0.846 0.000
Pr3 0.500 0.346 0.000
Pr4 0.500 0.654 0.000
Zn1 0.000 0.284 0.500
Zn2 0.000 0.716 0.500
Zn3 0.500 0.216 0.500
Zn4 0.500 0.784 0.500
Ag1 0.000 0.000 0.000
Ag2 0.000 0.431 0.500
Ag3 0.000 0.569 0.500
Ag4 0.500 0.069 0.500
Ag5 0.500 0.500 0.000
Ag6 0.500 0.931 0.500



# Pr3Zn2Ag4

Pr3Zn2Ag4 after structural relaxation (PBE, Alexandria).

Results
Space group   C2/m (12)
M_tot   0.0 μB/cell
Mass density   7.748 g cm⁻³
Energy relative to the elements   -0.296 eV/atom
Final energy   -3.439 eV/atom

Cell lengths 5.965, 5.965, 9.022 Å; angles 113.53, 113.53, 46.93 degrees
Atoms (fractional coordinates):
Pr1 0.000 0.000 0.000
Pr2 0.336 0.336 0.333
Pr3 0.664 0.664 0.667
Zn1 0.384 0.384 0.715
Zn2 0.616 0.616 0.285
Ag1 0.062 0.062 0.389
Ag2 0.281 0.281 0.938
Ag3 0.719 0.719 0.062
Ag4 0.938 0.938 0.611



# PrZn2Ag3

PrZn2Ag3 after structural relaxation (PBE, Alexandria).

Results
Space group   Cmcm (63)
M_tot   0.0 μB/cell
Distance to the lowest polymorph of the same formula   0 meV/atom
Mass density   8.077 g cm⁻³
Energy relative to the elements   -0.181 eV/atom
Final energy   -2.828 eV/atom

Cell lengths 6.759, 6.759, 5.381 Å; angles 90.00, 90.00, 84.75 degrees
Atoms (fractional coordinates):
Pr1 0.174 0.826 0.750
Pr2 0.826 0.174 0.250
Zn1 0.265 0.265 0.000
Zn2 0.265 0.265 0.500
Zn3 0.735 0.735 0.000
Zn4 0.735 0.735 0.500
Ag1 0.050 0.594 0.250
Ag2 0.406 0.950 0.250
Ag3 0.461 0.539 0.250
Ag4 0.539 0.461 0.750
Ag5 0.594 0.050 0.750
Ag6 0.950 0.406 0.750



# Pr2Zn5Ag5

Pr2Zn5Ag5 after structural relaxation (PBE, Alexandria).

Results
Space group   Pmmm (47)
M_tot   0.0 μB/cell
Distance to the lowest polymorph of the same formula   0 meV/atom
Mass density   8.064 g cm⁻³
Energy relative to the elements   -0.250 eV/atom
Final energy   -2.765 eV/atom

Cell lengths 4.554, 5.411, 9.595 Å; angles 90.00, 90.00, 90.00 degrees
Atoms (fractional coordinates):
Pr1 0.000 0.000 0.000
Pr2 0.000 0.500 0.500
Zn1 0.500 0.000 0.500
Zn2 0.500 0.250 0.254
Zn3 0.500 0.250 0.746
Zn4 0.500 0.750 0.254
Zn5 0.500 0.750 0.746
Ag1 0.000 0.000 0.333
Ag2 0.000 0.000 0.667
Ag3 0.000 0.500 0.176
Ag4 0.000 0.500 0.824
Ag5 0.500 0.500 0.000



# PrZn2Ag2

PrZn2Ag2 after structural relaxation (PBE, Alexandria).

Results
Space group   Cmcm (63)
M_tot   0.0 μB/cell
Distance to the lowest polymorph of the same formula   54 meV/atom
Mass density   7.595 g cm⁻³
Energy relative to the elements   -0.171 eV/atom
Final energy   -2.777 eV/atom

Cell lengths 6.564, 6.564, 8.387 Å; angles 90.00, 90.00, 143.85 degrees
Atoms (fractional coordinates):
Pr1 0.087 0.913 0.750
Pr2 0.913 0.087 0.250
Zn1 0.232 0.768 0.102
Zn2 0.232 0.768 0.398
Zn3 0.768 0.232 0.602
Zn4 0.768 0.232 0.898
Ag1 0.405 0.595 0.583
Ag2 0.405 0.595 0.917
Ag3 0.595 0.405 0.083
Ag4 0.595 0.405 0.417



# PrZn10Ag2

PrZn10Ag2 after structural relaxation (PBE, Alexandria).

Results
Space group   Fmmm (69)
M_tot   0.0 μB/cell
Mass density   7.581 g cm⁻³
Energy relative to the elements   -0.148 eV/atom
Final energy   -1.935 eV/atom

Cell lengths 9.015, 6.996, 6.868 Å; angles 81.11, 50.06, 48.83 degrees
Atoms (fractional coordinates):
Pr1 0.000 0.000 0.000
Zn1 0.000 0.000 0.500
Zn2 0.005 0.644 0.356
Zn3 0.283 0.504 0.496
Zn4 0.356 0.995 0.005
Zn5 0.496 0.717 0.283
Zn6 0.500 0.500 0.000
Zn7 0.504 0.283 0.717
Zn8 0.644 0.005 0.995
Zn9 0.717 0.496 0.504
Zn10 0.995 0.356 0.644
Ag1 0.000 0.500 0.000
Ag2 0.500 0.000 0.500



Copy entry 3 word for word.
# Pr2Zn5Ag

Pr2Zn5Ag after structural relaxation (PBE, Alexandria).

Results
Space group   I4mm (107)
M_tot   0.0 μB/cell
Distance to the lowest polymorph of the same formula   138 meV/atom
Mass density   6.882 g cm⁻³
Energy relative to the elements   -0.167 eV/atom
Final energy   -2.515 eV/atom

Cell lengths 6.531, 6.531, 8.108 Å; angles 90.00, 90.00, 90.00 degrees
Atoms (fractional coordinates):
Pr1 0.000 0.500 0.000
Pr2 0.000 0.500 0.500
Pr3 0.500 0.000 0.000
Pr4 0.500 0.000 0.500
Zn1 0.000 0.000 0.015
Zn2 0.202 0.202 0.748
Zn3 0.202 0.798 0.748
Zn4 0.298 0.298 0.248
Zn5 0.298 0.702 0.248
Zn6 0.500 0.500 0.515
Zn7 0.702 0.298 0.248
Zn8 0.702 0.702 0.248
Zn9 0.798 0.202 0.748
Zn10 0.798 0.798 0.748
Ag1 0.000 0.000 0.345
Ag2 0.500 0.500 0.845



Which of these has the lowest mass density?
number 3